Computed, not measured: a relaxed structure of LaBe2ZnPt at the PBE level of DFT.

E_form	932	kJ/mol of formula units
space-group type	No. 123

a = 4.8316 Å, b = 5.2889 Å, c = 4.8316 Å
α = 90.00°, β = 90.00°, γ = 90.00°
Last column: nearest neighbours and their distance in Å.
Fractional coordinates of all 5 atoms:
La 0.0000 0.0000 0.0000  4 Be 2.42, 2 Zn 2.64
Pt 0.5000 0.5000 0.5000  4 Zn 3.42, 8 Be 3.58
Zn 0.0000 0.5000 0.0000  2 La 2.64
Be 0.0000 0.0000 0.5000  2 La 2.42
Be 0.5000 0.0000 0.0000  2 La 2.42